CaMg6FeO8 | GGA+U | relaxed

a = 4.4012 Å, b = 4.4012 Å, c = 8.6425 Å
α = 90.00°, β = 90.00°, γ = 90.00°
Fractional coordinates of all 16 atoms:
O 0.0000 0.5000 0.0000
O 0.0000 0.5000 0.5000
Mg 0.5000 0.0000 0.2569
O 0.0000 0.0000 0.2622
O 0.5000 0.5000 0.2504
Mg 0.5000 0.5000 0.0000
O 0.0000 0.0000 0.7378
O 0.5000 0.0000 0.0000
Mg 0.5000 0.5000 0.5000
Mg 0.0000 0.5000 0.2569
Ca 0.0000 0.0000 0.0000
Mg 0.0000 0.5000 0.7431
Fe 0.0000 0.0000 0.5000
O 0.5000 0.0000 0.5000
O 0.5000 0.5000 0.7496
Mg 0.5000 0.0000 0.7431

Values from the calculation:
For the final energy, the calculation gives -96.87 eV/cell. The space-group type is P4/mmm. Its relative energy among the computed polymorphs is 0.0079 eV per atom.